This record from Alexandria via LeMat-Bulk describes a relaxed Sm5Cd2Pd2 crystal. The functional is PBE-GGA.

Computed properties:
V = 498.3 Å³ per cell
Size of the total moment = 0.00 μB/f.u.
Energy of formation = -10.40 kcal/mol of atoms

Cell lengths 8.5486, 7.3311, 8.7551 Å; angles 114.75, 90.00, 90.00 degrees
With the nearest neighbours (Å) after each atom.
Fractional coordinates of all 18 atoms:
Sm 0.0000 0.0000 0.0000  2 Pd 2.91
Sm 0.3174 0.7086 0.7514  3 Pd 2.98-3.27, 3 Cd 3.23-3.30
Cd 0.0000 0.7861 0.5722  7 Sm 3.23-3.40
Sm 0.8174 0.7914 0.2486  3 Pd 2.98-3.27, 3 Cd 3.23-3.30
Pd 0.3791 0.1283 0.0000  1 Pd 2.80, 5 Sm 2.91-3.00
Sm 0.5000 0.5000 0.0000  2 Pd 2.91
Cd 0.5000 0.7139 0.4278  7 Sm 3.23-3.40
Sm 0.1826 0.4572 0.2486  3 Pd 2.98-3.27, 3 Cd 3.23-3.30
Pd 0.8791 0.3717 0.0000  1 Pd 2.80, 5 Sm 2.91-3.00
Pd 0.1209 0.6283 0.0000  1 Pd 2.80, 5 Sm 2.91-3.00
Sm 0.6826 0.2914 0.2486  3 Pd 2.98-3.27, 3 Cd 3.23-3.30
Pd 0.6209 0.8717 0.0000  1 Pd 2.80, 5 Sm 2.91-3.00
Sm 0.8174 0.5428 0.7514  3 Pd 2.98-3.27, 3 Cd 3.23-3.30
Sm 0.3174 0.9572 0.2486  3 Pd 2.98-3.27, 3 Cd 3.23-3.30
Cd 0.0000 0.2139 0.4278  7 Sm 3.23-3.40
Sm 0.1826 0.2086 0.7514  3 Pd 2.98-3.27, 3 Cd 3.23-3.30
Sm 0.6826 0.0428 0.7514  3 Pd 2.98-3.27, 3 Cd 3.23-3.30
Cd 0.5000 0.2861 0.5722  7 Sm 3.23-3.40